Entry 1:
DFT (PBE-GGA) results for a relaxed structure of Sc4GeBr5.

Unit cell a=3.8518 b=7.9844 c=8.8826 alpha=102.27 beta=102.52 gamma=90.00
Closest atoms and distances in Å follow each position.
Fractional coordinates of all 10 atoms:
Sc: 0.3493 0.9212 0.6985  1 Ge 2.55, 4 Br 2.74-2.79
Sc: 0.9983 0.7774 0.9966  2 Ge 2.62, 1 Br 2.79
Sc: 0.6507 0.0788 0.3015  1 Ge 2.55, 4 Br 2.74-2.79
Sc: 0.0017 0.2226 0.0034  2 Ge 2.62, 1 Br 2.79
Ge: 0.5000 0.0000 0.0000  6 Sc 2.55-2.62
Br: 0.8341 0.6717 0.6682  3 Sc 2.74-2.79
Br: 0.8280 0.1603 0.6560  4 Sc 2.79-3.00
Br: 0.1720 0.8397 0.3440  4 Sc 2.79-3.00
Br: 0.5000 0.5000 0.0000  4 Sc 2.94
Br: 0.1659 0.3283 0.3318  3 Sc 2.74-2.79

Values from the calculation:
Energy relative to the elements, uncorrected (meV per atom): -1350
Energy (eV per formula unit): -51.80
SG: No. 12
E above lowest polymorph (eV/atom): 0.000


Entry 2:
DFT (PBE-GGA) results for a relaxed structure of ZrTaBi2Os.

Unit cell a=5.2389 b=4.9224 c=5.2389 alpha=90.00 beta=90.00 gamma=90.00
Closest atoms and distances in Å follow each position.
Fractional coordinates of all 5 atoms:
Os: 0.0000 0.0000 0.0000  2 Ta 2.46, 4 Bi 2.62
Bi: 0.0000 0.0000 0.5000  2 Os 2.62
Bi: 0.5000 0.0000 0.0000  2 Os 2.62
Zr: 0.5000 0.5000 0.5000  8 Bi 3.59, 4 Ta 3.70
Ta: 0.0000 0.5000 0.0000  2 Os 2.46

Values from the calculation:
Energy (eV per formula unit): -33.53
SG: No. 123
Energy of formation from the pure elements (eV per formula unit): 5.9


Entry 3:
DFT (PBE-GGA) results for a relaxed structure of CsKCdS2.

Unit cell a=6.9750 b=6.9105 c=8.4739 alpha=114.06 beta=90.00 gamma=90.00
Closest atoms and distances in Å follow each position.
Fractional coordinates of all 10 atoms:
Cs: 0.1965 0.7500 0.5000  2 S 3.61
Cs: 0.8035 0.2500 0.5000  2 S 3.61
K: 0.5000 0.7500 0.0000  4 S 3.13, 2 K 3.46
K: 0.5000 0.2500 0.0000  4 S 3.13, 2 K 3.46
Cd: 0.0000 0.0000 0.0000  2 S 2.36
Cd: 0.0000 0.5000 0.0000  2 S 2.36
S: 0.7762 0.8860 0.7720  1 Cd 2.36
S: 0.7762 0.6140 0.2280  1 Cd 2.36
S: 0.2238 0.3860 0.7720  1 Cd 2.36
S: 0.2238 0.1140 0.2280  1 Cd 2.36

Values from the calculation:
Energy relative to the elements, uncorrected (meV per atom): -845
Energy (eV per formula unit): -15.35
SG: No. 67


Entry 4:
DFT (PBE-GGA) results for a relaxed structure of Sm2SnSb4.

Unit cell a=4.3357 b=4.3357 c=11.3930 alpha=90.00 beta=90.00 gamma=90.00
Closest atoms and distances in Å follow each position.
Fractional coordinates of all 7 atoms:
Sm: 0.5000 0.0000 0.7159  8 Sb 3.25-3.28
Sm: 0.0000 0.5000 0.2841  8 Sb 3.25-3.28
Sn: 0.5000 0.5000 0.0000  4 Sb 3.06
Sb: 0.5000 0.0000 0.1895  2 Sn 3.06, 4 Sm 3.25
Sb: 0.0000 0.5000 0.8105  2 Sn 3.06, 4 Sm 3.25
Sb: 0.5000 0.5000 0.5000  4 Sb 3.07, 4 Sm 3.28
Sb: 0.0000 0.0000 0.5000  4 Sb 3.07, 4 Sm 3.28

Values from the calculation:
Energy relative to the elements, uncorrected (meV per atom): -632
Energy (eV per formula unit): -34.35
SG: No. 115


Entry 5:
DFT (PBE-GGA) results for a relaxed structure of ThZr2MoC4.

Unit cell a=3.3953 b=6.1763 c=11.7017 alpha=90.00 beta=90.00 gamma=105.95
Closest atoms and distances in Å follow each position.
Fractional coordinates of all 16 atoms:
Th: 0.1041 0.2081 0.7500  6 C 2.58-2.79
Th: 0.8959 0.7919 0.2500  6 C 2.58-2.79
Zr: 0.3699 0.7398 0.5384  5 C 2.24-2.49
Zr: 0.6301 0.2602 0.0384  5 C 2.24-2.49
Zr: 0.6301 0.2602 0.4616  5 C 2.24-2.49
Zr: 0.3699 0.7398 0.9616  5 C 2.24-2.49
Mo: 0.8408 0.6816 0.7500  4 C 1.96-2.07
Mo: 0.1592 0.3184 0.2500  4 C 1.96-2.07
C: 0.2620 0.5241 0.1186  1 Mo 1.96
C: 0.7380 0.4759 0.6186  1 Mo 1.96
C: 0.7380 0.4759 0.8814  1 Mo 1.96
C: 0.2620 0.5241 0.3814  1 Mo 1.96
C: 0.0000 0.0000 0.5000  4 Zr 2.34
C: 0.0000 0.0000 0.0000  4 Zr 2.34
C: 0.4403 0.8806 0.7500  2 Mo 2.07
C: 0.5597 0.1194 0.2500  2 Mo 2.07

Values from the calculation:
Energy (eV per formula unit): -74.98
SG: No. 63
Energy of formation from the pure elements (eV per formula unit): -2.7


Entry 6:
DFT (PBE-GGA) results for a relaxed structure of NaCrFeNi2.

Unit cell a=4.3160 b=4.7618 c=4.3160 alpha=90.00 beta=90.00 gamma=90.00
Closest atoms and distances in Å follow each position.
Fractional coordinates of all 5 atoms:
Ni: 0.0000 0.0000 0.5000  2 Cr 2.16
Ni: 0.5000 0.0000 0.0000  2 Cr 2.16
Na: 0.0000 0.5000 0.0000  2 Cr 2.38
Fe: 0.5000 0.5000 0.5000  4 Na 3.05, 8 Ni 3.21
Cr: 0.0000 0.0000 0.0000  4 Ni 2.16, 2 Na 2.38

Values from the calculation:
Energy (eV per formula unit): -23.58
SG: No. 123
Energy of formation from the pure elements (eV per formula unit): 7.4